1.
Compound: TaIO
Source: Alexandria via LeMat-Bulk
Functional: PBE
Structure: relaxed

The structure belongs to space group P2_1/m (No. 11); the cell edges are 5.438, 3.343 and 7.877 Å and the angles 90.00°, 101.72° and 90.00°. Symmetry generates all atoms from Ta at (0.232, 0.250, 0.493), I at (0.189, 0.750, 0.783) and O at (0.379, 0.750, 0.387).

The uncorrected formation energy is -1.247 eV per atom. As for the density of states at the Fermi level: 0.0355 states/eV/atom. The final energy is -44.20 eV/cell.

=====

2.
Compound: MgTiGaHg
Source: Alexandria via LeMat-Bulk
Functional: PBE
Structure: relaxed

The structure belongs to space group F-43m (No. 216); the cell edges are 6.682, 6.682 and 6.682 Å and the angles 90.00°, 90.00° and 90.00°. Symmetry generates all atoms from Mg at (0.000, 0.000, 0.000), Ti at (0.000, 0.000, 0.500), Ga at (0.250, 0.250, 0.250) and Hg at (0.250, 0.250, 0.750).

As for the formation energy: -0.07 eV per atom. As for the density of states at the Fermi level: 1.2249 states/eV/atom. The final energy is -52.34 eV/cell.

=====

3.
Compound: FeNi2Ir
Source: Alexandria via LeMat-Bulk
Functional: PBE
Structure: relaxed

The structure belongs to space group Fm-3m (No. 225); the cell edges are 5.737, 5.737 and 5.737 Å and the angles 90.00°, 90.00° and 90.00°. Symmetry generates all atoms from Fe at (0.000, 0.000, 0.000), Ni at (0.250, 0.250, 0.250) and Ir at (0.000, 0.000, 0.500).

As for the formation energy: 0.25 eV per atom. As for the density of states at the Fermi level: 1.3591 states/eV/atom. The final energy is -111.48 eV/cell.

=====

4.
Compound: LiZnInSb2
Source: Alexandria via LeMat-Bulk
Functional: PBE
Structure: relaxed

The structure belongs to space group P4/mmm (No. 123); the cell edges are 5.733, 5.733 and 5.087 Å and the angles 90.00°, 90.00° and 90.00°. Symmetry generates all atoms from Li at (0.000, 0.000, 0.000), Zn at (0.500, 0.500, 0.000), In at (0.500, 0.500, 0.500) and Sb at (0.000, 0.500, 0.500).

The uncorrected formation energy is 0.460 eV per atom. As for the density of states at the Fermi level: 0.8106 states/eV/atom. The final energy is -11.87 eV/cell.

=====

5.
Compound: TiPt3
Source: Alexandria via LeMat-Bulk
Functional: PBE
Structure: relaxed

The structure belongs to space group Pm-3m (No. 221); the cell edges are 3.948, 3.948 and 3.948 Å and the angles 90.00°, 90.00° and 90.00°. Symmetry generates all atoms from Ti at (0.000, 0.000, 0.000) and Pt at (0.000, 0.500, 0.500).

As for the formation energy: -0.87 eV per atom. As for the density of states at the Fermi level: 0.1244 states/eV/atom. The final energy is -29.48 eV/cell.

=====

6.
Compound: PuUGaOs
Source: Alexandria via LeMat-Bulk
Functional: PBE
Structure: relaxed

The structure belongs to space group Cm (No. 8); the cell edges are 9.251, 3.332 and 5.074 Å and the angles 90.00°, 108.88° and 90.00°. Symmetry generates all atoms from Pu at (0.000, 0.000, 0.000), U at (0.270, 0.000, 0.817), Ga at (0.488, 0.000, 0.478) and Os at (0.250, 0.500, 0.330).

As for the formation energy: -0.13 eV per atom. Its energy above the most stable polymorph in this dataset is 19 meV per atom. As for the density of states at the Fermi level: 1.5966 states/eV/atom. The final energy is -80.80 eV/cell.

=====

7.
Compound: BeP2Ru2
Source: Alexandria via LeMat-Bulk
Functional: PBE
Structure: relaxed

The structure belongs to space group I4/mmm (No. 139); the cell edges are 3.512, 3.512 and 11.384 Å and the angles 90.00°, 90.00° and 90.00°. Symmetry generates all atoms from Be at (0.000, 0.000, 0.000), P at (0.000, 0.500, 0.250) and Ru at (0.000, 0.000, 0.380).

As for the formation energy: -0.03 eV per atom. Its energy above the most stable polymorph in this dataset is 37 meV per atom. As for the density of states at the Fermi level: 0.3179 states/eV/atom. The final energy is -66.54 eV/cell.

=====

8.
Compound: BaZnFe4
Source: Alexandria via LeMat-Bulk
Functional: PBE
Structure: relaxed

The structure belongs to space group F-43m (No. 216); the cell edges are 7.362, 7.362 and 7.362 Å and the angles 90.00°, 90.00° and 90.00°. Symmetry generates all atoms from Ba at (0.000, 0.000, 0.000), Zn at (0.250, 0.250, 0.250) and Fe at (0.121, 0.121, 0.621).

As for the formation energy: 0.49 eV per atom. As for the density of states at the Fermi level: 0.7571 states/eV/atom. The final energy is -136.50 eV/cell.

=====

9.
Compound: RbBiAu
Source: Alexandria via LeMat-Bulk
Functional: PBE
Structure: relaxed

The structure belongs to space group I4mm (No. 107); the cell edges are 4.100, 4.100 and 12.923 Å and the angles 90.00°, 90.00° and 90.00°. Symmetry generates all atoms from Rb at (0.000, 0.000, 0.000), Bi at (0.000, 0.000, 0.721) and Au at (0.000, 0.000, 0.268).

As for the formation energy: -0.19 eV per atom. Its energy above the most stable polymorph in this dataset is 97 meV per atom. As for the density of states at the Fermi level: 0.4451 states/eV/atom. The final energy is -17.42 eV/cell.

=====

10.
Compound: ZnPN3
Source: Alexandria via LeMat-Bulk
Functional: PBE
Structure: relaxed

The structure belongs to space group Pm-3m (No. 221); the cell edges are 3.499, 3.499 and 3.499 Å and the angles 90.00°, 90.00° and 90.00°. Symmetry generates all atoms from Zn at (0.000, 0.000, 0.000), P at (0.500, 0.500, 0.500) and N at (0.000, 0.500, 0.500).

The uncorrected formation energy is 1.000 eV per atom. As for the density of states at the Fermi level: 0.4405 states/eV/atom. The final energy is -26.66 eV/cell.

=====

11.
Compound: YPb2
Source: Alexandria via LeMat-Bulk
Functional: PBE
Structure: relaxed

The structure belongs to space group Cmcm (No. 63); the cell edges are 3.773, 17.288 and 5.647 Å and the angles 90.00°, 90.00° and 90.00°. Symmetry generates all atoms from Y at (0.000, 0.219, 0.250), Pb at (0.000, 0.116, 0.750) and Pb at (0.000, 0.440, 0.750).

As for the formation energy: -0.12 eV per atom. As for the density of states at the Fermi level: 0.8056 states/eV/atom. The final energy is -56.92 eV/cell.

=====

12.
Compound: Ho4NiCl5
Source: Alexandria via LeMat-Bulk
Functional: PBE
Structure: relaxed

The structure belongs to space group C2/m (No. 12); the cell edges are 17.912, 3.834 and 8.125 Å and the angles 90.00°, 102.53° and 90.00°. Symmetry generates all atoms from Ho at (0.001, 0.000, 0.221), Ho at (0.149, 0.500, 0.080), Ni at (0.000, 0.500, 0.000), Cl at (0.000, 0.500, 0.500), Cl at (0.168, 0.000, 0.325) and Cl at (0.180, 0.000, 0.853).

The uncorrected formation energy is -1.595 eV per atom. As for the density of states at the Fermi level: 0.3285 states/eV/atom. The final energy is -98.55 eV/cell.

=====

13.
Compound: CoSbPb3
Source: Alexandria via LeMat-Bulk
Functional: PBE
Structure: relaxed

The structure belongs to space group Pm-3m (No. 221); the cell edges are 5.127, 5.127 and 5.127 Å and the angles 90.00°, 90.00° and 90.00°. Symmetry generates all atoms from Co at (0.000, 0.000, 0.000), Sb at (0.500, 0.500, 0.500) and Pb at (0.000, 0.000, 0.500).

Its energy above the most stable polymorph in this dataset is 0 meV per atom. The uncorrected formation energy is 0.165 eV per atom. As for the density of states at the Fermi level: 0.1629 states/eV/atom. The final energy is -21.53 eV/cell.

=====

14.
Compound: Hf2SnB
Source: Alexandria via LeMat-Bulk
Functional: PBE
Structure: relaxed

The structure belongs to space group R-3m (No. 166, hexagonal axes); the cell edges are 3.4446, 3.4446 and 22.1185 Å and the angles 90.00°, 90.00° and 120.00°. Symmetry generates all atoms from Hf at (0.0000, 0.0000, 0.2233), Sn at (0.0000, 0.0000, 0.0000) and B at (0.0000, 0.0000, 0.5000).

As for the formation energy: -0.56 eV per atom. Its energy above the most stable polymorph in this dataset is 0 meV per atom. As for the density of states at the Fermi level: 0.2360 states/eV/atom. The final energy is -98.49 eV/cell.

=====

15.
Compound: Ac12Cd2Sn5
Source: Alexandria via LeMat-Bulk
Functional: PBE
Structure: relaxed

The structure belongs to space group C2/m (No. 12); the cell edges are 18.758, 8.244 and 10.512 Å and the angles 90.00°, 99.96° and 90.00°. Symmetry generates all atoms from Ac at (0.015, 0.000, 0.300), Ac at (0.016, 0.500, 0.821), Ac at (0.148, 0.256, 0.576), Ac at (0.173, 0.252, 0.108), Cd at (0.000, 0.170, 0.000), Sn at (0.000, 0.500, 0.500), Sn at (0.169, 0.000, 0.841) and Sn at (0.204, 0.000, 0.365).

As for the formation energy: -0.30 eV per atom. As for the density of states at the Fermi level: 1.1886 states/eV/atom. The final energy is -153.51 eV/cell.

=====

16.
Compound: Cd5Au3
Source: Alexandria via LeMat-Bulk
Functional: PBE
Structure: relaxed

The structure belongs to space group I4/mcm (No. 140); the cell edges are 10.948, 10.948 and 5.469 Å and the angles 90.00°, 90.00° and 90.00°. Symmetry generates all atoms from Cd at (0.000, 0.500, 0.250), Cd at (0.079, 0.225, 0.000), Au at (0.000, 0.000, 0.250) and Au at (0.165, 0.335, 0.500).

As for the formation energy: -0.17 eV per atom. Its energy above the most stable polymorph in this dataset is 0 meV per atom. As for the density of states at the Fermi level: 0.2267 states/eV/atom. The final energy is -62.98 eV/cell.

=====

17.
Compound: YMo2Rh
Source: Alexandria via LeMat-Bulk
Functional: PBE
Structure: relaxed

The structure belongs to space group Fm-3m (No. 225); the cell edges are 6.520, 6.520 and 6.520 Å and the angles 90.00°, 90.00° and 90.00°. Symmetry generates all atoms from Y at (0.000, 0.000, 0.000), Mo at (0.250, 0.250, 0.250) and Rh at (0.000, 0.000, 0.500).

As for the formation energy: 0.42 eV per atom. Its energy above the most stable polymorph in this dataset is 455 meV per atom. As for the density of states at the Fermi level: 1.5507 states/eV/atom. The final energy is -135.17 eV/cell.

=====

18.
Compound: ZrTi2BeN
Source: Alexandria via LeMat-Bulk
Functional: PBE
Structure: relaxed

The structure belongs to space group P4/mmm (No. 123); the cell edges are 4.951, 4.951 and 4.113 Å and the angles 90.00°, 90.00° and 90.00°. Symmetry generates all atoms from Zr at (0.000, 0.000, 0.000), Ti at (0.000, 0.500, 0.000), Be at (0.500, 0.500, 0.500) and N at (0.000, 0.000, 0.500).

Its energy above the most stable polymorph in this dataset is 2136 meV per atom. The uncorrected formation energy is 1.425 eV per atom. As for the density of states at the Fermi level: 1.2768 states/eV/atom. The final energy is -29.27 eV/cell.

=====

19.
Compound: TaNbPd
Source: Alexandria via LeMat-Bulk
Functional: PBE
Structure: relaxed

The structure belongs to space group P-3m1 (No. 164); the cell edges are 4.5700, 4.5700 and 5.6942 Å and the angles 90.00°, 90.00° and 120.00°. Symmetry generates all atoms from Ta at (0.0000, 0.0000, 0.2477), Nb at (0.3333, 0.6667, 0.0906) and Pd at (0.3333, 0.6667, 0.5993).

As for the formation energy: -0.16 eV per atom. Its energy above the most stable polymorph in this dataset is 105 meV per atom. As for the density of states at the Fermi level: 0.9423 states/eV/atom. The final energy is -55.21 eV/cell.

=====

20.
Compound: ScCu2Pb
Source: Alexandria via LeMat-Bulk
Functional: PBE
Structure: relaxed

The structure belongs to space group P4mm (No. 99); the cell edges are 3.292, 3.292 and 6.902 Å and the angles 90.00°, 90.00° and 90.00°. Symmetry generates all atoms from Sc at (0.000, 0.000, 0.000), Cu at (0.000, 0.000, 0.395), Cu at (0.500, 0.500, 0.231) and Pb at (0.500, 0.500, 0.667).

As for the formation energy: -0.02 eV per atom. As for the density of states at the Fermi level: 0.6190 states/eV/atom. The final energy is -18.33 eV/cell.

=====

21.
Compound: Li3Pr4Pd5
Source: Alexandria via LeMat-Bulk
Functional: PBE
Structure: relaxed

The structure belongs to space group C2/m (No. 12); the cell edges are 14.004, 4.512 and 11.222 Å and the angles 90.00°, 125.19° and 90.00°. Symmetry generates all atoms from Li at (0.000, 0.000, 0.000), Li at (0.153, 0.500, 0.918), Pr at (0.035, 0.000, 0.327), Pr at (0.235, 0.500, 0.261), Pd at (0.000, 0.500, 0.000), Pd at (0.087, 0.500, 0.648) and Pd at (0.199, 0.500, 0.514).

As for the formation energy: -0.44 eV per atom. As for the density of states at the Fermi level: 0.7101 states/eV/atom. The final energy is -112.31 eV/cell.

=====

22.
Compound: Nd2Ga4Sn2Pt
Source: Alexandria via LeMat-Bulk
Functional: PBE
Structure: relaxed

The structure belongs to space group I4/mmm (No. 139); the cell edges are 6.410, 6.410 and 9.772 Å and the angles 90.00°, 90.00° and 90.00°. Symmetry generates all atoms from Nd at (0.000, 0.500, 0.250), Ga at (0.219, 0.219, 0.000), Sn at (0.000, 0.000, 0.220) and Pt at (0.000, 0.000, 0.500).

As for the formation energy: -0.55 eV per atom. As for the density of states at the Fermi level: 0.4138 states/eV/atom. The final energy is -81.28 eV/cell.

=====

23.
Compound: Sm2Y6Ho3Pu
Source: Alexandria via LeMat-Bulk
Functional: PBE
Structure: relaxed

The structure belongs to space group C2/m (No. 12); the cell edges are 6.163, 10.681 and 11.752 Å and the angles 90.00°, 100.10° and 90.00°. Symmetry generates all atoms from Sm at (0.000, 0.167, 0.000), Y at (0.246, 0.500, 0.750), Y at (0.248, 0.335, 0.250), Ho at (0.000, 0.000, 0.500), Ho at (0.000, 0.333, 0.500) and Pu at (0.000, 0.500, 0.000).

As for the formation energy: 0.05 eV per atom. As for the density of states at the Fermi level: 2.1377 states/eV/atom. The final energy is -151.35 eV/cell.

=====

24.
Compound: Cs3PdCl8
Source: Alexandria via LeMat-Bulk
Functional: PBE
Structure: relaxed

The structure belongs to space group P6_3mc (No. 186); the cell edges are 10.4074, 10.4074 and 8.7865 Å and the angles 90.00°, 90.00° and 120.00°. Symmetry generates all atoms from Cs at (0.1547, 0.3094, 0.0000), Pd at (0.3333, 0.6667, 0.4311), Cl at (0.0000, 0.0000, 0.2503), Cl at (0.1197, 0.5598, 0.2785), Cl at (0.2262, 0.4523, 0.5853) and Cl at (0.3333, 0.6667, 0.8923).

The uncorrected formation energy is -1.112 eV per atom. As for the density of states at the Fermi level: 0.3736 states/eV/atom. The final energy is -71.75 eV/cell.

=====

25.
Compound: La2CdRuPb
Source: Alexandria via LeMat-Bulk
Functional: PBE
Structure: relaxed

The structure belongs to space group P4/mmm (No. 123); the cell edges are 5.445, 5.445 and 5.306 Å and the angles 90.00°, 90.00° and 90.00°. Symmetry generates all atoms from La at (0.000, 0.500, 0.000), Cd at (0.000, 0.000, 0.500), Ru at (0.500, 0.500, 0.000) and Pb at (0.500, 0.500, 0.500).

As for the formation energy: -0.27 eV per atom. Its energy above the most stable polymorph in this dataset is 20 meV per atom. As for the density of states at the Fermi level: 0.9665 states/eV/atom. The final energy is -25.11 eV/cell.